[1]
Computed, not measured: a relaxed ScCrIr2 crystal at the PBE level of DFT.

Cell: 2.889 4.882 5.531 Å, 52.15 90.00 90.00°
Positions (direct):
1 Ir 0.500 0.500 0.000
2 Sc 0.500 0.500 0.500
3 Cr 0.000 0.000 0.500
4 Ir 0.000 0.000 0.000

Output
E above lowest polymorph = 0.962 eV/f.u.
Space-group type = P2/m (10)
DOS(E_F) = 3.50 states/eV/f.u.
ΔH_f (0 K) = -0.23 eV/atom


[2]
Computed, not measured: a relaxed ScCrIr3 crystal at the PBE level of DFT.

Cell: 4.505 4.505 4.505 Å, 90.00 90.00 90.00°
Positions (direct):
1 Ir 0.000 0.500 0.000
2 Ir 0.000 0.000 0.500
3 Sc 0.500 0.500 0.500
4 Cr 0.000 0.000 0.000
5 Ir 0.500 0.000 0.000

Output
E above lowest polymorph = 0.000 eV/f.u.
Space-group type = Pm-3m (221)
DOS(E_F) = 4.07 states/eV/f.u.
ΔH_f (0 K) = 0.52 eV/atom


[3]
Computed, not measured: a relaxed ScCr2Ir crystal at the PBE level of DFT.

Cell: 5.064 5.064 4.509 Å, 63.60 63.60 34.93°
Positions (direct):
1 Cr 0.024 0.024 0.976
2 Ir 0.489 0.489 0.511
3 Sc 0.254 0.254 0.246
4 Cr 0.733 0.733 0.767

Output
E above lowest polymorph = 0.422 eV/f.u.
Space-group type = Imm2 (44)
DOS(E_F) = 3.62 states/eV/f.u.
ΔH_f (0 K) = -0.06 eV/atom


[4]
Computed, not measured: a relaxed ScCr2Ir crystal at the PBE level of DFT.

Cell: 4.089 3.929 3.929 Å, 90.00 90.00 90.00°
Positions (direct):
1 Cr 0.000 0.500 0.500
2 Cr 0.000 0.000 0.000
3 Sc 0.500 0.000 0.500
4 Ir 0.500 0.500 0.000

Output
E above lowest polymorph = 0.959 eV/f.u.
Space-group type = P4/mmm (123)
DOS(E_F) = 5.78 states/eV/f.u.
ΔH_f (0 K) = 0.07 eV/atom


[5]
Computed, not measured: a relaxed ScCrIr crystal at the PBE level of DFT.

Cell: 4.355 4.355 4.355 Å, 60.00 60.00 60.00°
Positions (direct):
1 Sc 0.750 0.750 0.750
2 Ir 0.500 0.500 0.500
3 Cr 0.000 0.000 0.000

Output
E above lowest polymorph = 1.839 eV/f.u.
Space-group type = F-43m (216)
DOS(E_F) = 1.59 states/eV/f.u.
ΔH_f (0 K) = 0.41 eV/atom


[6]
Computed, not measured: a relaxed ScCrIr2 crystal at the PBE level of DFT.

Cell: 4.673 4.673 4.940 Å, 78.93 78.93 35.90°
Positions (direct):
1 Sc 0.750 0.750 0.750
2 Cr 0.250 0.250 0.250
3 Ir 0.506 0.506 0.479
4 Ir 0.994 0.994 0.021

Output
E above lowest polymorph = 0.973 eV/f.u.
Space-group type = C2/m (12)
DOS(E_F) = 3.92 states/eV/f.u.
ΔH_f (0 K) = -0.23 eV/atom